Entry 1:
An optimized crystal structure of Ta3ZnRe, computed with PBE.

Cell lengths 4.6035, 4.6035, 4.6035 Å; angles 90.00, 90.00, 90.00 degrees
Positions (direct):
Ta (0.0000, 0.0000, 0.5000)
Ta (0.0000, 0.5000, 0.0000)
Ta (0.5000, 0.0000, 0.0000)
Zn (0.0000, 0.0000, 0.0000)
Re (0.5000, 0.5000, 0.5000)

Properties
Final energy, eV/atom: -8.262
Crystal system: cubic
Space group: Pm-3m (221)
ΔE to the lowest computed polymorph, eV per atom: 0.2807

Entry 2:
An optimized crystal structure of K5RbCd4, computed with PBE.

Cell lengths 11.6361, 11.6361, 9.8972 Å; angles 102.77, 102.77, 23.94 degrees
Positions (direct):
K (0.0000, 0.0000, 0.0000)
K (0.3107, 0.3107, 0.8901)
K (0.3254, 0.3254, 0.4387)
K (0.6746, 0.6746, 0.5613)
K (0.6893, 0.6893, 0.1099)
Rb (0.0000, 0.0000, 0.5000)
Cd (0.1414, 0.1414, 0.8177)
Cd (0.4340, 0.4340, 0.2049)
Cd (0.5660, 0.5660, 0.7951)
Cd (0.8586, 0.8586, 0.1823)

Properties
Final energy, eV/atom: -1.036
Crystal system: monoclinic
Space group: C2/m (12)

Entry 3:
An optimized crystal structure of ReTcHg2, computed with PBE.

Cell lengths 2.8357, 2.8357, 9.8747 Å; angles 90.00, 90.00, 116.60 degrees
Positions (direct):
Re (0.0000, 0.0000, 0.0000)
Tc (0.0000, 0.0000, 0.5000)
Hg (0.5000, 0.5000, 0.2523)
Hg (0.5000, 0.5000, 0.7477)

Properties
Final energy, eV/atom: -4.967
Crystal system: orthorhombic
Space group: Cmmm (65)
ΔE to the lowest computed polymorph, eV per atom: 0.5703

Entry 4:
An optimized crystal structure of Ac5AlAg2, computed with PBE.

Cell lengths 9.5586, 9.5586, 9.5586 Å; angles 125.71, 125.71, 80.36 degrees
Positions (direct):
Ac (0.0000, 0.0000, 0.0000)
Ac (0.0101, 0.5101, 0.8194)
Ac (0.1907, 0.0101, 0.5000)
Ac (0.3093, 0.8093, 0.8194)
Ac (0.4899, 0.3093, 0.5000)
Ac (0.5000, 0.5000, 0.0000)
Ac (0.5101, 0.6907, 0.5000)
Ac (0.6907, 0.1907, 0.1806)
Ac (0.8093, 0.9899, 0.5000)
Ac (0.9899, 0.4899, 0.1806)
Al (0.2500, 0.2500, 0.0000)
Al (0.7500, 0.7500, 0.0000)
Ag (0.1277, 0.3723, 0.5000)
Ag (0.3723, 0.8723, 0.2447)
Ag (0.6277, 0.1277, 0.7553)
Ag (0.8723, 0.6277, 0.5000)

Properties
Final energy, eV/atom: -3.909
Crystal system: tetragonal
Space group: I4/mcm (140)

Entry 5:
An optimized crystal structure of HoNbZnOs, computed with PBE.

Cell lengths 4.6931, 4.6931, 4.6931 Å; angles 60.00, 60.00, 60.00 degrees
Positions (direct):
Ho (0.0000, 0.0000, 0.0000)
Nb (0.5000, 0.5000, 0.5000)
Zn (0.2500, 0.2500, 0.2500)
Os (0.7500, 0.7500, 0.7500)

Properties
Final energy, eV/atom: -6.877
Crystal system: cubic
Space group: F-43m (216)

Entry 6:
An optimized crystal structure of ScNi2OsC, computed with PBE.

Cell lengths 3.9276, 3.9276, 4.0256 Å; angles 90.00, 90.00, 90.00 degrees
Positions (direct):
Sc (0.0000, 0.0000, 0.0000)
Ni (0.0000, 0.5000, 0.5000)
Ni (0.5000, 0.0000, 0.5000)
Os (0.5000, 0.5000, 0.0000)
C (0.5000, 0.5000, 0.5000)

Properties
Final energy, eV/atom: -7.882
Crystal system: tetragonal
Space group: P4/mmm (123)

Question: Look up the final energy of the fourth one.
Answer: -3.909 eV/atom

Question: What is the final energy in the sixth record?
Answer: -7.882 eV/atom

Question: Which of these has the highest final energy?
Answer: K5RbCd4